# 1
CdInAg2Au: relaxed, PBE-GGA.

```
CdInAg2Au
1.0
6.270 0.000 0.000
0.000 4.717 0.000
-1.743 0.000 7.288
Cd In Ag Au
2 2 4 2
Direct
0.046 0.250 0.180 Cd
0.954 0.750 0.820 Cd
0.460 0.750 0.803 In
0.540 0.250 0.197 In
0.115 0.750 0.457 Ag
0.388 0.250 0.537 Ag
0.612 0.750 0.463 Ag
0.885 0.250 0.543 Ag
0.228 0.250 0.868 Au
0.772 0.750 0.132 Au
```

## Properties
raw total energy = -0.0952 hartree per atom
SG = P2_1/m, No. 11

# 2
Cd4InAgAu2: relaxed, PBE-GGA.

```
Cd4InAgAu2
1.0
4.228 0.000 0.000
0.000 4.228 0.000
0.000 0.000 10.501
Cd In Ag Au
4 1 1 2
Direct
0.000 0.500 0.186 Cd
0.000 0.500 0.814 Cd
0.500 0.000 0.186 Cd
0.500 0.000 0.814 Cd
0.000 0.000 0.500 In
0.000 0.000 0.000 Ag
0.500 0.500 0.372 Au
0.500 0.500 0.628 Au
```

## Properties
raw total energy = -0.0737 hartree per atom
SG = P4/mmm, No. 123

# 3
Cd2InAg2Au2: relaxed, PBE-GGA.

```
Cd2InAg2Au2
1.0
3.048 0.000 0.000
-1.524 2.640 0.000
0.000 0.000 17.992
Cd In Ag Au
2 1 2 2
Direct
0.000 0.000 0.172 Cd
0.000 0.000 0.828 Cd
0.000 0.000 0.000 In
0.333 0.667 0.436 Ag
0.667 0.333 0.564 Ag
0.333 0.667 0.693 Au
0.667 0.333 0.307 Au
```

## Properties
raw total energy = -0.0874 hartree per atom
SG = P-3m1, No. 164

# 4
Cd2InAg6Au2: relaxed, PBE-GGA.

```
Cd2InAg6Au2
1.0
4.631 -2.917 0.000
4.631 2.917 0.000
-4.238 0.000 7.972
Cd In Ag Au
2 1 6 2
Direct
0.071 0.071 0.384 Cd
0.929 0.929 0.616 Cd
0.000 0.000 0.000 In
0.011 0.520 0.263 Ag
0.373 0.373 0.051 Ag
0.480 0.989 0.737 Ag
0.520 0.011 0.263 Ag
0.627 0.627 0.949 Ag
0.989 0.480 0.737 Ag
0.417 0.417 0.598 Au
0.583 0.583 0.402 Au
```

## Properties
raw total energy = -0.0951 hartree per atom
SG = C2/m, No. 12

# 5
CdInAgAu: relaxed, PBE-GGA.

```
CdInAgAu
1.0
3.576 0.000 0.000
0.000 3.576 0.000
0.000 0.000 6.328
Cd In Ag Au
1 1 1 1
Direct
0.000 0.000 0.000 Cd
0.000 0.000 0.496 In
0.500 0.500 0.758 Ag
0.500 0.500 0.246 Au
```

## Properties
raw total energy = -0.0929 hartree per atom
SG = P4mm, No. 99

# 6
KCdAgAu2: relaxed, PBE-GGA.

```
KCdAgAu2
1.0
-2.206 2.234 6.338
2.206 -2.234 6.338
2.206 2.234 -6.338
K Cd Ag Au
1 1 1 2
Direct
0.000 0.000 0.000 K
0.253 0.753 0.500 Cd
0.613 0.613 0.000 Ag
0.398 0.398 0.000 Au
0.753 0.253 0.500 Au
```

## Properties
raw total energy = -0.0890 hartree per atom
SG = Imm2, No. 44

# 7
K2Cd3AgAu4: relaxed, PBE-GGA.

```
K2Cd3AgAu4
1.0
4.836 0.000 0.000
0.000 4.836 0.000
0.000 0.000 11.276
K Cd Ag Au
2 3 1 4
Direct
0.000 0.500 0.248 K
0.500 0.000 0.752 K
0.000 0.500 0.874 Cd
0.500 0.000 0.126 Cd
0.500 0.500 0.500 Cd
0.000 0.000 0.500 Ag
0.000 0.000 0.000 Au
0.000 0.500 0.631 Au
0.500 0.000 0.369 Au
0.500 0.500 0.000 Au
```

## Properties
raw total energy = -0.0838 hartree per atom
SG = P-4m2, No. 115

# 8
K2Cd4AgAu3: relaxed, PBE-GGA.

```
K2Cd4AgAu3
1.0
4.896 0.000 0.000
0.000 4.896 0.000
0.000 0.000 11.248
K Cd Ag Au
2 4 1 3
Direct
0.000 0.500 0.247 K
0.500 0.000 0.753 K
0.000 0.000 0.500 Cd
0.000 0.500 0.873 Cd
0.500 0.000 0.127 Cd
0.500 0.500 0.500 Cd
0.500 0.500 0.000 Ag
0.000 0.000 0.000 Au
0.000 0.500 0.629 Au
0.500 0.000 0.371 Au
```

## Properties
raw total energy = -0.0751 hartree per atom
SG = P-4m2, No. 115

# 9
K2CdAgAu2: relaxed, PBE-GGA.

```
K2CdAgAu2
1.0
-3.633 7.083 3.522
3.633 -7.083 3.522
3.633 7.083 -3.522
K Cd Ag Au
4 2 2 4
Direct
0.172 0.231 0.403 K
0.328 0.731 0.059 K
0.672 0.269 0.941 K
0.828 0.769 0.597 K
0.250 0.750 0.500 Cd
0.750 0.250 0.500 Cd
0.250 0.250 0.000 Ag
0.750 0.750 0.000 Ag
0.088 0.752 0.839 Au
0.412 0.252 0.664 Au
0.588 0.748 0.336 Au
0.912 0.248 0.161 Au
```

## Properties
raw total energy = -0.0831 hartree per atom
SG = Ibam, No. 72

# 10
K2Cd4Ag3Au: relaxed, PBE-GGA.

```
K2Cd4Ag3Au
1.0
4.991 0.000 0.000
0.000 4.991 0.000
0.000 0.000 10.964
K Cd Ag Au
2 4 3 1
Direct
0.000 0.500 0.241 K
0.500 0.000 0.759 K
0.000 0.000 0.500 Cd
0.000 0.500 0.878 Cd
0.500 0.000 0.122 Cd
0.500 0.500 0.500 Cd
0.000 0.000 0.000 Ag
0.000 0.500 0.625 Ag
0.500 0.000 0.375 Ag
0.500 0.500 0.000 Au
```

## Properties
raw total energy = -0.0675 hartree per atom
SG = P-4m2, No. 115

# 11
K2Cd12Ag3Au: relaxed, PBE-GGA.

```
K2Cd12Ag3Au
1.0
3.675 2.122 10.498
-3.675 2.122 10.498
0.000 -4.244 10.498
K Cd Ag Au
2 12 3 1
Direct
0.150 0.150 0.150 K
0.850 0.850 0.850 K
0.085 0.085 0.686 Cd
0.085 0.686 0.085 Cd
0.143 0.575 0.575 Cd
0.314 0.915 0.915 Cd
0.425 0.425 0.857 Cd
0.425 0.857 0.425 Cd
0.575 0.143 0.575 Cd
0.575 0.575 0.143 Cd
0.686 0.085 0.085 Cd
0.857 0.425 0.425 Cd
0.915 0.314 0.915 Cd
0.915 0.915 0.314 Cd
0.000 0.500 0.500 Ag
0.500 0.000 0.500 Ag
0.500 0.500 0.000 Ag
0.500 0.500 0.500 Au
```

## Properties
raw total energy = -0.0502 hartree per atom
SG = R-3m, No. 166

# 12
KCd2AgAu: relaxed, PBE-GGA.

```
KCd2AgAu
1.0
5.332 0.000 0.000
0.000 5.332 0.000
0.000 0.000 5.411
K Cd Ag Au
1 2 1 1
Direct
0.000 0.000 0.000 K
0.000 0.500 0.500 Cd
0.500 0.000 0.500 Cd
0.500 0.500 0.500 Ag
0.500 0.500 0.000 Au
```

## Properties
raw total energy = -0.0658 hartree per atom
SG = P4/mmm, No. 123

# 13
K2Cd4AgAu: relaxed, PBE-GGA.

```
K2Cd4AgAu
1.0
0.000 5.728 14.064
2.796 0.000 14.064
2.796 5.728 0.000
K Cd Ag Au
4 8 2 2
Direct
0.078 0.078 0.672 K
0.328 0.328 0.922 K
0.672 0.672 0.078 K
0.922 0.922 0.328 K
0.021 0.408 0.337 Cd
0.265 0.663 0.592 Cd
0.337 0.735 0.021 Cd
0.408 0.021 0.735 Cd
0.592 0.979 0.265 Cd
0.663 0.265 0.979 Cd
0.735 0.337 0.408 Cd
0.979 0.592 0.663 Cd
0.375 0.375 0.375 Ag
0.625 0.625 0.625 Ag
0.125 0.125 0.125 Au
0.875 0.875 0.875 Au
```

## Properties
raw total energy = -0.0595 hartree per atom
SG = Fddd, No. 70

# 14
KCd4AgAu2: relaxed, PBE-GGA.

```
KCd4AgAu2
1.0
2.518 1.454 7.999
-2.518 1.454 7.999
0.000 -2.908 7.999
K Cd Ag Au
1 4 1 2
Direct
0.000 0.000 0.000 K
0.138 0.138 0.138 Cd
0.384 0.384 0.384 Cd
0.616 0.616 0.616 Cd
0.862 0.862 0.862 Cd
0.500 0.500 0.500 Ag
0.259 0.259 0.259 Au
0.741 0.741 0.741 Au
```

## Properties
raw total energy = -0.0674 hartree per atom
SG = R-3m, No. 166

# 15
KCd2AgAu: relaxed, PBE-GGA.

```
KCd2AgAu
1.0
5.335 0.000 0.000
0.000 5.335 0.000
0.000 0.000 5.443
K Cd Ag Au
1 2 1 1
Direct
0.000 0.000 0.000 K
0.000 0.500 0.500 Cd
0.500 0.000 0.500 Cd
0.500 0.500 0.000 Ag
0.500 0.500 0.500 Au
```

## Properties
raw total energy = -0.0685 hartree per atom
SG = P4/mmm, No. 123

# 16
K2Cd5Ag2Au: relaxed, PBE-GGA.

```
K2Cd5Ag2Au
1.0
12.539 0.000 0.000
0.000 12.539 0.000
0.000 0.000 3.187
K Cd Ag Au
4 10 4 2
Direct
0.176 0.324 0.000 K
0.324 0.824 0.000 K
0.676 0.176 0.000 K
0.824 0.676 0.000 K
0.000 0.500 0.500 Cd
0.058 0.814 0.500 Cd
0.186 0.058 0.500 Cd
0.314 0.558 0.500 Cd
0.442 0.314 0.500 Cd
0.500 0.000 0.500 Cd
0.558 0.686 0.500 Cd
0.686 0.442 0.500 Cd
0.814 0.942 0.500 Cd
0.942 0.186 0.500 Cd
0.134 0.634 0.000 Ag
0.366 0.134 0.000 Ag
0.634 0.866 0.000 Ag
0.866 0.366 0.000 Ag
0.000 0.000 0.000 Au
0.500 0.500 0.000 Au
```

## Properties
raw total energy = -0.0603 hartree per atom
SG = P4/mbm, No. 127

# 17
KCdAg2Au: relaxed, PBE-GGA.

```
KCdAg2Au
1.0
5.347 0.000 0.000
0.000 5.347 0.000
0.000 0.000 5.308
K Cd Ag Au
1 1 2 1
Direct
0.000 0.000 0.000 K
0.500 0.500 0.000 Cd
0.000 0.500 0.500 Ag
0.500 0.000 0.500 Ag
0.500 0.500 0.500 Au
```

## Properties
raw total energy = -0.0784 hartree per atom
SG = P4/mmm, No. 123

# 18
La4CdAgAu2: relaxed, PBE-GGA.

```
La4CdAgAu2
1.0
2.705 1.562 8.837
-2.705 1.562 8.837
0.000 -3.124 8.837
La Cd Ag Au
4 1 1 2
Direct
0.122 0.122 0.122 La
0.372 0.372 0.372 La
0.628 0.628 0.628 La
0.878 0.878 0.878 La
0.500 0.500 0.500 Cd
0.000 0.000 0.000 Ag
0.245 0.245 0.245 Au
0.755 0.755 0.755 Au
```

## Properties
raw total energy = -0.1573 hartree per atom
SG = R-3m, No. 166

# 19
LaCdAgAu: relaxed, PBE-GGA.

```
LaCdAgAu
1.0
0.000 3.614 3.614
3.614 0.000 3.614
3.614 3.614 0.000
La Cd Ag Au
1 1 1 1
Direct
0.000 0.000 0.000 La
0.500 0.500 0.500 Cd
0.250 0.250 0.250 Ag
0.750 0.750 0.750 Au
```

## Properties
raw total energy = -0.1272 hartree per atom
SG = F-43m, No. 216

# 20
LaCd2AgAu4: relaxed, PBE-GGA.

```
LaCd2AgAu4
1.0
2.380 1.374 8.859
-2.380 1.374 8.859
0.000 -2.748 8.859
La Cd Ag Au
1 2 1 4
Direct
0.000 0.000 0.000 La
0.240 0.240 0.240 Cd
0.760 0.760 0.760 Cd
0.500 0.500 0.500 Ag
0.126 0.126 0.126 Au
0.392 0.392 0.392 Au
0.608 0.608 0.608 Au
0.874 0.874 0.874 Au
```

## Properties
raw total energy = -0.1181 hartree per atom
SG = R-3m, No. 166

# 21
LiCd2Ag2Au: relaxed, PBE-GGA.

```
LiCd2Ag2Au
1.0
4.152 0.000 0.000
0.000 8.918 0.000
0.000 0.000 5.956
Li Cd Ag Au
2 4 4 2
Direct
0.000 0.159 0.000 Li
0.000 0.841 0.500 Li
0.000 0.161 0.513 Cd
0.000 0.839 0.013 Cd
0.500 0.336 0.242 Cd
0.500 0.664 0.742 Cd
0.000 0.499 0.498 Ag
0.000 0.501 0.998 Ag
0.500 0.330 0.757 Ag
0.500 0.670 0.257 Ag
0.500 0.005 0.255 Au
0.500 0.995 0.755 Au
```

## Properties
raw total energy = -0.0855 hartree per atom
SG = Pmc2_1, No. 26

# 22
LiCdAg2Au2: relaxed, PBE-GGA.

```
LiCdAg2Au2
1.0
4.221 0.000 0.000
0.000 8.658 0.000
0.000 0.000 5.852
Li Cd Ag Au
2 2 4 4
Direct
0.000 0.180 0.000 Li
0.000 0.820 0.500 Li
0.500 0.002 0.743 Cd
0.500 0.998 0.243 Cd
0.000 0.498 0.484 Ag
0.000 0.502 0.984 Ag
0.500 0.335 0.735 Ag
0.500 0.665 0.235 Ag
0.000 0.159 0.495 Au
0.000 0.841 0.995 Au
0.500 0.329 0.228 Au
0.500 0.671 0.728 Au
```

## Properties
raw total energy = -0.1003 hartree per atom
SG = Pmc2_1, No. 26

# 23
Li2Cd4AgAu2: relaxed, PBE-GGA.

```
Li2Cd4AgAu2
1.0
5.133 0.000 0.000
0.798 5.087 0.000
0.933 1.706 6.451
Li Cd Ag Au
2 4 1 2
Direct
0.180 0.315 0.156 Li
0.820 0.685 0.844 Li
0.050 0.784 0.382 Cd
0.389 0.445 0.735 Cd
0.611 0.555 0.265 Cd
0.950 0.216 0.618 Cd
0.500 0.000 0.500 Ag
0.274 0.872 0.949 Au
0.726 0.128 0.051 Au
```

## Properties
raw total energy = -0.0782 hartree per atom
SG = P-1, No. 2

| no. | formation energy (eV/atom) |
| --- | --- |
| 1 | -0.063 |
| 2 | -0.030 |
| 3 | 0.024 |
| 4 | -0.020 |
| 5 | -0.083 |
| 6 | -0.139 |
| 7 | -0.189 |
| 8 | -0.188 |
| 9 | -0.176 |
| 10 | -0.069 |
| 11 | 0.022 |
| 12 | 0.022 |
| 13 | -0.122 |
| 14 | -0.063 |
| 15 | -0.052 |
| 16 | -0.067 |
| 17 | 0.064 |
| 18 | -0.526 |
| 19 | -0.469 |
| 20 | -0.373 |
| 21 | -0.206 |
| 22 | -0.214 |
| 23 | -0.252 |